1.
Computed, not measured: a geometry-optimized Na3PrBi2 structure at the PBE level of DFT.

```
data_Na3PrBi2
_chemical_formula_sum 'Na3 Pr1 Bi2'
_cell_length_a 5.0831
_cell_length_b 5.0831
_cell_length_c 7.7514
_cell_angle_alpha 90.00
_cell_angle_beta 90.00
_cell_angle_gamma 120.00
_space_group_name_H-M_alt 'P -3 m 1'
_space_group_IT_number 164
_space_group_name_Hall '-P 3 2"'
loop_
_atom_site_label
_atom_site_type_symbol
_atom_site_fract_x
_atom_site_fract_y
_atom_site_fract_z
_atom_site_occupancy
Na1 Na 0.0000 0.0000 0.0000 1
Na2 Na 0.3333 0.6667 0.1576 1
Pr1 Pr 0.0000 0.0000 0.5000 1
Bi1 Bi 0.3333 0.6667 0.7234 1
```

2.
Computed, not measured: a geometry-optimized NaBi5Pt3 structure at the PBE level of DFT.

```
data_NaBi5Pt3
_chemical_formula_sum 'Na1 Bi5 Pt3'
_cell_length_a 5.8341
_cell_length_b 5.8341
_cell_length_c 8.5004
_cell_angle_alpha 90.00
_cell_angle_beta 90.00
_cell_angle_gamma 120.00
_space_group_name_H-M_alt 'P 6/m m m'
_space_group_IT_number 191
_space_group_name_Hall '-P 6 2'
loop_
_atom_site_label
_atom_site_type_symbol
_atom_site_fract_x
_atom_site_fract_y
_atom_site_fract_z
_atom_site_occupancy
Na1 Na 0.0000 0.0000 0.0000 1
Bi1 Bi 0.0000 0.0000 0.5000 1
Bi2 Bi 0.3333 0.6667 0.2194 1
Pt1 Pt 0.0000 0.5000 0.5000 1
```

3.
# NaBiPt (PBE, relaxed)
data_NaBiPt
_chemical_formula_sum 'Na4 Bi4 Pt4'
_cell_length_a 7.603
_cell_length_b 4.701
_cell_length_c 8.096
_cell_angle_alpha 90.00
_cell_angle_beta 90.00
_cell_angle_gamma 90.00
_space_group_name_H-M_alt 'P n m a'
_space_group_IT_number 62
_space_group_name_Hall '-P 2ac 2n'
loop_
_atom_site_label
_atom_site_type_symbol
_atom_site_fract_x
_atom_site_fract_y
_atom_site_fract_z
_atom_site_occupancy
Na1 Na 0.014 0.250 0.180 1
Bi1 Bi 0.174 0.250 0.582 1
Pt1 Pt 0.196 0.750 0.400 1
# excess energy over the best structure of this formula in the dataset = 0.00 eV per formula unit

4.
Computed, not measured: a geometry-optimized Na2Bi2Pt3 structure at the PBE level of DFT.

```
data_Na2Bi2Pt3
_chemical_formula_sum 'Na6 Bi6 Pt9'
_cell_length_a 4.7638
_cell_length_b 4.7638
_cell_length_c 23.0406
_cell_angle_alpha 90.00
_cell_angle_beta 90.00
_cell_angle_gamma 120.00
_space_group_name_H-M_alt 'R 3 m'
_space_group_IT_number 160
_space_group_name_Hall 'R 3 -2"'
loop_
_atom_site_label
_atom_site_type_symbol
_atom_site_fract_x
_atom_site_fract_y
_atom_site_fract_z
_atom_site_occupancy
Na1 Na 0.0000 0.0000 0.0000 1
Na2 Na 0.0000 0.0000 0.4889 1
Bi1 Bi 0.0000 0.0000 0.2421 1
Bi2 Bi 0.0000 0.0000 0.7425 1
Pt1 Pt 0.0000 0.0000 0.3651 1
Pt2 Pt 0.0000 0.0000 0.6177 1
Pt3 Pt 0.0000 0.0000 0.8733 1
```

5.
# NaBiPt (PBE, relaxed)
data_NaBiPt
_chemical_formula_sum 'Na4 Bi4 Pt4'
_cell_length_a 6.635
_cell_length_b 6.635
_cell_length_c 6.635
_cell_angle_alpha 90.00
_cell_angle_beta 90.00
_cell_angle_gamma 90.00
_space_group_name_H-M_alt 'F -4 3 m'
_space_group_IT_number 216
_space_group_name_Hall 'F -4 2 3'
loop_
_atom_site_label
_atom_site_type_symbol
_atom_site_fract_x
_atom_site_fract_y
_atom_site_fract_z
_atom_site_occupancy
Na1 Na 0.000 0.000 0.000 1
Bi1 Bi 0.000 0.000 0.500 1
Pt1 Pt 0.250 0.250 0.750 1
# excess energy over the best structure of this formula in the dataset = 0.32 eV per formula unit

6.
# NaBiPt (PBE, relaxed)
data_NaBiPt
_chemical_formula_sum 'Na4 Bi4 Pt4'
_cell_length_a 6.555
_cell_length_b 6.555
_cell_length_c 6.555
_cell_angle_alpha 90.00
_cell_angle_beta 90.00
_cell_angle_gamma 90.00
_space_group_name_H-M_alt 'F -4 3 m'
_space_group_IT_number 216
_space_group_name_Hall 'F -4 2 3'
loop_
_atom_site_label
_atom_site_type_symbol
_atom_site_fract_x
_atom_site_fract_y
_atom_site_fract_z
_atom_site_occupancy
Na1 Na 0.000 0.000 0.000 1
Bi1 Bi 0.250 0.250 0.750 1
Pt1 Pt 0.250 0.250 0.250 1
# excess energy over the best structure of this formula in the dataset = 1.95 eV per formula unit

7.
Computed, not measured: a geometry-optimized Na2Bi2Pt structure at the PBE level of DFT.

```
data_Na2Bi2Pt
_chemical_formula_sum 'Na8 Bi8 Pt4'
_cell_length_a 6.650
_cell_length_b 14.231
_cell_length_c 5.806
_cell_angle_alpha 90.00
_cell_angle_beta 90.00
_cell_angle_gamma 90.00
_space_group_name_H-M_alt 'C m c m'
_space_group_IT_number 63
_space_group_name_Hall '-C 2c 2'
loop_
_atom_site_label
_atom_site_type_symbol
_atom_site_fract_x
_atom_site_fract_y
_atom_site_fract_z
_atom_site_occupancy
Na1 Na 0.000 0.086 0.250 1
Na2 Na 0.000 0.319 0.750 1
Bi1 Bi 0.248 0.378 0.250 1
Pt1 Pt 0.000 0.500 0.000 1
```

8.
Computed, not measured: a geometry-optimized Na4SnBiPt2 structure at the PBE level of DFT.

```
data_Na4SnBiPt2
_chemical_formula_sum 'Na4 Sn1 Bi1 Pt2'
_cell_length_a 4.856
_cell_length_b 4.856
_cell_length_c 6.938
_cell_angle_alpha 90.00
_cell_angle_beta 90.00
_cell_angle_gamma 90.00
_space_group_name_H-M_alt 'P -4 m 2'
_space_group_IT_number 115
_space_group_name_Hall 'P -4 -2'
loop_
_atom_site_label
_atom_site_type_symbol
_atom_site_fract_x
_atom_site_fract_y
_atom_site_fract_z
_atom_site_occupancy
Na1 Na 0.000 0.000 0.000 1
Na2 Na 0.000 0.500 0.740 1
Na3 Na 0.500 0.500 0.500 1
Sn1 Sn 0.000 0.000 0.500 1
Bi1 Bi 0.500 0.500 0.000 1
Pt1 Pt 0.000 0.500 0.265 1
```

9.
# NaReBiSb (PBE, relaxed)
data_NaReBiSb
_chemical_formula_sum 'Na4 Re4 Bi4 Sb4'
_cell_length_a 6.908
_cell_length_b 6.908
_cell_length_c 6.908
_cell_angle_alpha 90.00
_cell_angle_beta 90.00
_cell_angle_gamma 90.00
_space_group_name_H-M_alt 'F -4 3 m'
_space_group_IT_number 216
_space_group_name_Hall 'F -4 2 3'
loop_
_atom_site_label
_atom_site_type_symbol
_atom_site_fract_x
_atom_site_fract_y
_atom_site_fract_z
_atom_site_occupancy
Na1 Na 0.000 0.000 0.000 1
Re1 Re 0.000 0.000 0.500 1
Bi1 Bi 0.250 0.250 0.250 1
Sb1 Sb 0.250 0.250 0.750 1
# excess energy over the best structure of this formula in the dataset = 0.00 eV per formula unit

10.
# NaTaReBi (PBE, relaxed)
data_NaTaReBi
_chemical_formula_sum 'Na4 Ta4 Re4 Bi4'
_cell_length_a 6.660
_cell_length_b 6.660
_cell_length_c 6.660
_cell_angle_alpha 90.00
_cell_angle_beta 90.00
_cell_angle_gamma 90.00
_space_group_name_H-M_alt 'F -4 3 m'
_space_group_IT_number 216
_space_group_name_Hall 'F -4 2 3'
loop_
_atom_site_label
_atom_site_type_symbol
_atom_site_fract_x
_atom_site_fract_y
_atom_site_fract_z
_atom_site_occupancy
Na1 Na 0.000 0.000 0.000 1
Ta1 Ta 0.250 0.250 0.750 1
Re1 Re 0.000 0.000 0.500 1
Bi1 Bi 0.250 0.250 0.250 1
# excess energy over the best structure of this formula in the dataset = 0.00 eV per formula unit

11.
# NaTaReBi (PBE, relaxed)
data_NaTaReBi
_chemical_formula_sum 'Na4 Ta4 Re4 Bi4'
_cell_length_a 6.728
_cell_length_b 6.728
_cell_length_c 6.728
_cell_angle_alpha 90.00
_cell_angle_beta 90.00
_cell_angle_gamma 90.00
_space_group_name_H-M_alt 'F -4 3 m'
_space_group_IT_number 216
_space_group_name_Hall 'F -4 2 3'
loop_
_atom_site_label
_atom_site_type_symbol
_atom_site_fract_x
_atom_site_fract_y
_atom_site_fract_z
_atom_site_occupancy
Na1 Na 0.000 0.000 0.000 1
Ta1 Ta 0.000 0.000 0.500 1
Re1 Re 0.250 0.250 0.250 1
Bi1 Bi 0.250 0.250 0.750 1
# excess energy over the best structure of this formula in the dataset = 0.79 eV per formula unit

12.
Computed, not measured: a geometry-optimized NaBiW2S8 structure at the PBE level of DFT.

```
data_NaBiW2S8
_chemical_formula_sum 'Na2 Bi2 W4 S16'
_cell_length_a 6.178
_cell_length_b 6.178
_cell_length_c 15.274
_cell_angle_alpha 90.00
_cell_angle_beta 90.00
_cell_angle_gamma 90.00
_space_group_name_H-M_alt 'I -4'
_space_group_IT_number 82
_space_group_name_Hall 'I -4'
loop_
_atom_site_label
_atom_site_type_symbol
_atom_site_fract_x
_atom_site_fract_y
_atom_site_fract_z
_atom_site_occupancy
Na1 Na 0.000 0.000 0.000 1
Bi1 Bi 0.000 0.500 0.250 1
W1 W 0.000 0.000 0.500 1
W2 W 0.000 0.500 0.750 1
S1 S 0.137 0.229 0.827 1
S2 S 0.141 0.740 0.419 1
```

13.
Computed, not measured: a geometry-optimized NaTmBiSe3 structure at the PBE level of DFT.

```
data_NaTmBiSe3
_chemical_formula_sum 'Na4 Tm4 Bi4 Se12'
_cell_length_a 3.939
_cell_length_b 15.540
_cell_length_c 11.458
_cell_angle_alpha 90.00
_cell_angle_beta 90.00
_cell_angle_gamma 90.00
_space_group_name_H-M_alt 'C m c m'
_space_group_IT_number 63
_space_group_name_Hall '-C 2c 2'
loop_
_atom_site_label
_atom_site_type_symbol
_atom_site_fract_x
_atom_site_fract_y
_atom_site_fract_z
_atom_site_occupancy
Na1 Na 0.000 0.150 0.250 1
Tm1 Tm 0.000 0.500 0.000 1
Bi1 Bi 0.000 0.148 0.750 1
Se1 Se 0.000 0.129 0.001 1
Se2 Se 0.000 0.499 0.250 1
```

no.,size of the total moment (μB per formula unit),uncorrected energy (eV for the cell shown)
1,0.01,-19.9
2,0.01,-41.0
3,0.00,-50.0
4,0.01,-91.2
5,0.00,-48.7
6,0.00,-42.2
7,0.00,-73.2
8,0.01,-27.6
9,0.00,-80.1
10,0.00,-109.7
11,0.00,-106.5
12,0.00,-138.1
13,0.01,-104.6